Record 1
Density functional theory data (PBE-GGA) for crystalline ErHPt at its relaxed geometry.

It has space group P3m1 (No. 156), with a = 3.9338 Å, b = 3.9338 Å, c = 3.5234 Å, α = 90.00°, β = 90.00° and γ = 120.00°. The asymmetric unit holds Er at (0.0000, 0.0000, 0.0000), H at (0.3333, 0.6667, 0.5043) and Pt at (0.6667, 0.3333, 0.5005).

The value obtained for the energy above the most stable polymorph in this dataset is 226 meV per atom. The value obtained for the density of states at the Fermi level is 0.304 states/eV per atom. The value obtained for the electronic total energy is -15.891 eV per cell.

***

Record 2
Density functional theory data (PBE-GGA) for crystalline Zr3MnTl at its relaxed geometry.

It has space group Pm-3m (No. 221), with a = 4.851 Å, b = 4.851 Å, c = 4.851 Å, α = 90.00°, β = 90.00° and γ = 90.00°. The asymmetric unit holds Zr at (0.000, 0.000, 0.500), Mn at (0.000, 0.000, 0.000) and Tl at (0.500, 0.500, 0.500).

As for the formation energy: 0.261 eV per atom. The value obtained for the energy above the most stable polymorph in this dataset is 0 meV per atom. The value obtained for the density of states at the Fermi level is 1.880 states/eV per atom. The value obtained for the electronic total energy is -35.874 eV per cell.

***

Record 3
Density functional theory data (PBE-GGA) for crystalline Ti2HgSbF at its relaxed geometry.

It has space group P4/mmm (No. 123), with a = 5.178 Å, b = 5.178 Å, c = 4.429 Å, α = 90.00°, β = 90.00° and γ = 90.00°. The asymmetric unit holds Ti at (0.000, 0.500, 0.000), Hg at (0.000, 0.000, 0.000), Sb at (0.500, 0.500, 0.500) and F at (0.000, 0.000, 0.500).

The raw formation energy is 0.373 eV per atom. The value obtained for the density of states at the Fermi level is 1.499 states/eV per atom. The value obtained for the electronic total energy is -20.219 eV per cell.

***

Record 4
Density functional theory data (PBE-GGA) for crystalline Pm2Sm3Er6 at its relaxed geometry.

It has space group I4/mmm (No. 139), with a = 4.740 Å, b = 4.740 Å, c = 33.115 Å, α = 90.00°, β = 90.00° and γ = 90.00°. The asymmetric unit holds Pm at (0.000, 0.000, 0.046), Sm at (0.000, 0.000, 0.297), Sm at (0.000, 0.000, 0.500), Er at (0.000, 0.000, 0.193) and Er at (0.000, 0.500, 0.121).

As for the formation energy: 0.266 eV per atom. The value obtained for the density of states at the Fermi level is 1.527 states/eV per atom. The value obtained for the electronic total energy is -96.227 eV per cell.

***

Record 5
Density functional theory data (PBE-GGA) for crystalline Th3Ge3Au at its relaxed geometry.

It has space group C2/m (No. 12), with a = 11.186 Å, b = 4.366 Å, c = 14.650 Å, α = 90.00°, β = 108.05° and γ = 90.00°. The asymmetric unit holds Th at (0.032, 0.000, 0.379), Th at (0.100, 0.000, 0.923), Th at (0.247, 0.000, 0.228), Ge at (0.023, 0.500, 0.227), Ge at (0.125, 0.500, 0.545), Ge at (0.128, 0.500, 0.080) and Au at (0.241, 0.500, 0.392).

As for the formation energy: -0.711 eV per atom. The value obtained for the density of states at the Fermi level is 0.540 states/eV per atom. The value obtained for the electronic total energy is -177.455 eV per cell.

***

Record 6
Density functional theory data (PBE-GGA) for crystalline Er8Ge3Te3C at its relaxed geometry.

It has space group R-3m (No. 166, hexagonal axes), with a = 8.2000 Å, b = 8.2000 Å, c = 21.2514 Å, α = 90.00°, β = 90.00° and γ = 120.00°. The asymmetric unit holds Er at (0.0000, 0.0000, 0.2396), Er at (0.0360, 0.5180, 0.2314), Ge at (0.0000, 0.5000, 0.5000), Te at (0.0000, 0.5000, 0.0000) and C at (0.0000, 0.0000, 0.5000).

The raw formation energy is -0.917 eV per atom. The value obtained for the density of states at the Fermi level is 0.500 states/eV per atom. The value obtained for the electronic total energy is -248.284 eV per cell.

***

Record 7
Density functional theory data (PBE-GGA) for crystalline NaAlPb at its relaxed geometry.

It has space group P1 (No. 1), with a = 3.640 Å, b = 4.564 Å, c = 9.635 Å, α = 89.88°, β = 79.19° and γ = 89.48°. The asymmetric unit holds Na at (0.000, 0.000, 0.000), Na at (0.182, 0.999, 0.635), Al at (0.753, 0.499, 0.496), Al at (0.827, 0.000, 0.347), Pb at (0.389, 0.500, 0.222) and Pb at (0.594, 0.499, 0.808).

As for the formation energy: 0.041 eV per atom. The value obtained for the density of states at the Fermi level is 0.448 states/eV per atom. The value obtained for the electronic total energy is -17.295 eV per cell.

***

Record 8
Density functional theory data (PBE-GGA) for crystalline Cs3HAuCl at its relaxed geometry.

It has space group P2_1/m (No. 11), with a = 9.288 Å, b = 5.351 Å, c = 11.078 Å, α = 90.00°, β = 108.21° and γ = 90.00°. The asymmetric unit holds Cs at (0.009, 0.250, 0.303), Cs at (0.311, 0.250, 0.972), Cs at (0.420, 0.750, 0.634), H at (0.351, 0.750, 0.874), Au at (0.268, 0.750, 0.245) and Cl at (0.185, 0.250, 0.621).

The value obtained for the density of states at the Fermi level is 0.000 states/eV per atom. The value obtained for the electronic total energy is -31.359 eV per cell.